No. 1
This record from Alexandria via LeMat-Bulk describes an optimized crystal structure of Rb3Ac3HfSe8. The functional is PBE.

Cell and atoms, written as POSCAR:
```
Rb3Ac3HfSe8
1.0
8.887 0.000 0.000
-4.444 7.698 -0.032
0.000 -5.103 8.197
Rb Ac Hf Se
3 3 1 8
Direct
0.000 0.000 0.000
0.000 0.500 0.000
0.500 0.500 0.000
0.500 0.000 0.500
0.500 0.500 0.500
0.000 0.500 0.500
0.000 0.000 0.500
0.263 0.526 0.289
0.737 0.474 0.711
0.789 0.579 0.311
0.211 0.421 0.689
0.789 0.021 0.311
0.211 0.979 0.689
0.232 0.021 0.311
0.768 0.979 0.689
```

Computed properties:
Crystal system   trigonal
E   -5.228 eV per atom
ΔE_f (raw)   -1690 meV per atom
Theoretical density   5.2 g cm⁻³

=====

No. 2
This record from Alexandria via LeMat-Bulk describes an optimized crystal structure of Zr2Nb2Hg. The functional is PBE.

Cell and atoms, written as POSCAR:
```
Zr2Nb2Hg
1.0
7.409 0.000 0.000
0.000 7.409 0.000
0.000 0.000 3.890
Nb Hg Zr
4 2 4
Direct
0.375 0.875 0.000
0.875 0.625 0.000
0.625 0.125 0.000
0.125 0.375 0.000
0.000 0.000 0.000
0.500 0.500 0.000
0.173 0.673 0.500
0.673 0.827 0.500
0.827 0.327 0.500
0.327 0.173 0.500
```

Computed properties:
Crystal system   tetragonal
E   -7.368 eV per atom
Formation energy from the elements   0.14 eV per atom
Theoretical density   8.8 g cm⁻³

=====

No. 3
This record from Alexandria via LeMat-Bulk describes an optimized crystal structure of Tb4PmSm2Th. The functional is PBE.

Cell and atoms, written as POSCAR:
```
Tb4PmSm2Th
1.0
-2.900 0.390 -4.182
-3.856 -2.216 2.468
-7.083 6.838 5.550
Tb Pm Sm Th
4 1 2 1
Direct
0.000 0.754 0.746
0.000 0.246 0.254
0.500 0.745 0.255
0.500 0.255 0.745
0.500 0.500 0.000
0.000 0.000 0.000
0.500 0.000 0.500
0.000 0.500 0.500
```

Computed properties:
Crystal system   orthorhombic
E   -4.987 eV per atom
Formation energy from the elements   0.03 eV per atom
Theoretical density   8.3 g cm⁻³

=====

No. 4
This record from Alexandria via LeMat-Bulk describes an optimized crystal structure of FeTeBr2. The functional is PBE.

Cell and atoms, written as POSCAR:
```
FeTeBr2
1.0
-2.701 -2.093 6.896
6.959 -2.670 1.916
3.293 1.914 6.166
Te Fe Br
2 2 4
Direct
0.000 0.000 0.000
0.750 0.250 0.500
0.500 0.500 0.000
0.250 0.750 0.500
0.493 0.125 0.250
0.257 0.625 0.250
0.375 0.507 0.750
0.875 0.743 0.750
```

Computed properties:
Crystal system   tetragonal
E   -3.465 eV per atom
ΔE_f (raw)   273 meV per atom
Theoretical density   4.0 g cm⁻³

=====

no.,DOS at the Fermi energy (states/eV/f.u.)
1,0.00
2,1.88
3,10.45
4,5.41